A relaxed structure of NbAgS2. Source: the Alexandria database, functional PBE-GGA.

Computed properties:
magnetization	1.88	μB/f.u.
Fermi-level density of states	3.918	states/eV/cell
energy relative to the elements, uncorrected	-325	meV/atom

a b c (Å): 7.036 7.036 7.036
angles (deg): 131.92 131.92 70.36
Atoms (fractional coordinates):
Nb: 0.000 0.000 0.000
Nb: 0.750 0.250 0.500
Ag: 0.250 0.750 0.500
Ag: 0.500 0.500 0.000
S: 0.101 0.625 0.976
S: 0.375 0.351 0.476
S: 0.649 0.125 0.024
S: 0.875 0.899 0.524